Density functional theory data (PBE-GGA) for YNbBr after structural relaxation.

Geometry as extended XYZ:
```
12
Lattice="11.341 0.000 0.000 0.000 4.637 0.000 -3.774 0.000 5.888" Properties=species:S:1:pos:R:3 pbc="T T T"
Y 0.000 0.000 0.000
Y -1.887 2.319 2.944
Y 3.784 0.000 2.944
Y 5.671 2.319 0.000
Nb 0.538 0.000 3.249
Nb 1.359 2.319 2.639
Nb 6.209 2.319 3.249
Nb 7.029 0.000 2.639
Br -2.049 2.319 5.869
Br 3.946 0.000 0.019
Br 3.622 0.000 5.869
Br 9.616 2.319 0.019
```

Properties
- energy (eV/cell) = -76.46
- energy above the most stable polymorph in this dataset (meV/atom) = 344
- space-group type = C2/m (12)
- uncorrected formation energy (meV per atom) = -303

---

Density functional theory data (PBE-GGA) for ScB2 after structural relaxation.

Geometry as extended XYZ:
```
6
Lattice="0.000 3.063 3.063 3.063 0.000 3.063 3.063 3.063 0.000" Properties=species:S:1:pos:R:3 pbc="T T T"
Sc 0.766 0.766 0.766
Sc 5.360 5.360 5.360
B 3.063 1.531 1.531
B 1.531 3.063 1.531
B 1.531 1.531 3.063
B 3.063 3.063 3.063
```

Properties
- formation energy from the elements (meV/atom) = 67.9
- energy (eV/cell) = -38.97
- space-group type = Fd-3m (227)

---

Density functional theory data (PBE-GGA) for TbTm2Se after structural relaxation.

Geometry as extended XYZ:
```
12
Lattice="3.734 0.000 0.000 -1.867 3.233 0.000 0.000 0.000 28.094" Properties=species:S:1:pos:R:3 pbc="T T T"
Tb 0.000 0.000 0.000
Tb 0.000 2.156 18.729
Tb 1.867 1.078 9.365
Tm 0.000 0.000 6.525
Tm 0.000 0.000 12.169
Tm 0.000 2.156 2.804
Tm 0.000 2.156 25.254
Tm 1.867 1.078 15.890
Tm 1.867 1.078 21.533
Se 0.000 0.000 23.401
Se 0.000 2.156 14.036
Se 1.867 1.078 4.671
```

Properties
- energy (eV/cell) = -60.62
- energy above the most stable polymorph in this dataset (meV/atom) = 0
- space-group type = R3m (160)
- uncorrected formation energy (meV per atom) = -787

---

Density functional theory data (PBE-GGA) for RuIF3 after structural relaxation.

Geometry as extended XYZ:
```
5
Lattice="4.737 0.000 0.000 0.000 4.737 0.000 0.000 0.000 4.737" Properties=species:S:1:pos:R:3 pbc="T T T"
Ru 0.000 0.000 0.000
I 2.369 2.369 2.369
F 0.000 2.369 2.369
F 2.369 0.000 2.369
F 2.369 2.369 0.000
```

Properties
- energy (eV/cell) = -15.45
- energy above the most stable polymorph in this dataset (meV/atom) = 1393
- space-group type = Pm-3m (221)
- uncorrected formation energy (meV per atom) = 198